## 1
DFT (PBE) results for Tb3MgTl4 after structural relaxation.

Cell: 5.2702 5.2702 26.7935 Å, 90.00 90.00 120.00°
Space group R-3m (No. 166, hexagonal axes)
One atom of each set of equivalent atoms:
1 Tb 0.0000 0.0000 0.0000 [3 per cell]
2 Tb 0.0000 0.0000 0.2435 [6 per cell]
3 Mg 0.0000 0.0000 0.5000 [3 per cell]
4 Tl 0.0000 0.0000 0.1240 [6 per cell]
5 Tl 0.0000 0.0000 0.3754 [6 per cell]

Results
**V**: 26.9 Å³ per atom

=====

## 2
DFT (PBE) results for Tb3MgTl4 after structural relaxation.

Cell: 9.9504 6.5232 6.5951 Å, 90.00 90.00 90.00°
Space group Pmn2_1 (No. 31)
One atom of each set of equivalent atoms:
1 Tb 0.0000 0.0210 0.0000 [2 per cell]
2 Tb 0.2493 0.2662 0.7278 [4 per cell]
3 Mg 0.0000 0.4921 0.4676 [2 per cell]
4 Tl 0.0000 0.5159 0.9651 [2 per cell]
5 Tl 0.0000 0.9920 0.4921 [2 per cell]
6 Tl 0.2477 0.7600 0.7312 [4 per cell]

Results
**V**: 26.8 Å³ per atom

=====

Which structure loses on stability? 2 does.

=====

## 1
DFT (PBE) results for Tb6MgTl5 after structural relaxation.

Cell: 6.4635 11.2205 9.9931 Å, 90.00 102.56 90.00°
Space group C2/m (No. 12)
One atom of each set of equivalent atoms:
1 Tb 0.2480 0.0000 0.2504 [4 per cell]
2 Tb 0.2488 0.1678 0.7493 [8 per cell]
3 Mg 0.0000 0.5000 0.0000 [2 per cell]
4 Tl 0.0000 0.0000 0.5000 [2 per cell]
5 Tl 0.0000 0.1669 0.0000 [4 per cell]
6 Tl 0.0000 0.3339 0.5000 [4 per cell]

Results
**V**: 29.5 Å³ per atom

=====

## 2
DFT (PBE) results for Tb6MgTl5 after structural relaxation.

Cell: 5.3845 7.5664 16.1838 Å, 90.00 90.00 90.00°
Space group Immm (No. 71)
One atom of each set of equivalent atoms:
1 Tb 0.0000 0.2449 0.0000 [4 per cell]
2 Tb 0.0000 0.2521 0.3314 [8 per cell]
3 Mg 0.0000 0.0000 0.5000 [2 per cell]
4 Tl 0.0000 0.0000 0.1677 [4 per cell]
5 Tl 0.0000 0.5000 0.1580 [4 per cell]
6 Tl 0.0000 0.5000 0.5000 [2 per cell]

Results
**V**: 27.5 Å³ per atom

=====

Which structure loses on stability? 1 does.

=====

## 1
DFT (PBE) results for Tb6MgTl after structural relaxation.

Cell: 7.1239 7.1359 18.7620 Å, 90.00 90.00 90.00°
Space group Fmmm (No. 69)
One atom of each set of equivalent atoms:
1 Tb 0.0000 0.0000 0.2477 [8 per cell]
2 Tb 0.2500 0.2500 0.1163 [16 per cell]
3 Mg 0.0000 0.0000 0.0000 [4 per cell]
4 Tl 0.0000 0.0000 0.5000 [4 per cell]

Results
**V**: 29.8 Å³ per atom

=====

## 2
DFT (PBE) results for Tb6MgTl after structural relaxation.

Cell: 4.8988 4.8988 9.8026 Å, 90.00 90.00 90.00°
Space group P4/mmm (No. 123)
One atom of each set of equivalent atoms:
1 Tb 0.0000 0.0000 0.0000 [1 per cell]
2 Tb 0.0000 0.0000 0.5000 [1 per cell]
3 Tb 0.0000 0.5000 0.2490 [4 per cell]
4 Mg 0.5000 0.5000 0.5000 [1 per cell]
5 Tl 0.5000 0.5000 0.0000 [1 per cell]

Results
**V**: 29.4 Å³ per atom

=====

Which structure loses on stability? 2 does.

=====

## 1
DFT (PBE) results for Tb2Tm7Mg2 after structural relaxation.

Cell: 9.2850 9.2211 7.9925 Å, 90.00 104.17 90.00°
Space group C2/m (No. 12)
One atom of each set of equivalent atoms:
1 Tb 0.0000 0.1798 0.0000 [4 per cell]
2 Tm 0.0000 0.0000 0.5000 [2 per cell]
3 Tm 0.1883 0.2964 0.6780 [8 per cell]
4 Tm 0.1929 0.5000 0.0301 [4 per cell]
5 Mg 0.0934 0.5000 0.3525 [4 per cell]

Results
**V**: 30.2 Å³ per atom

=====

## 2
DFT (PBE) results for Tb2Tm7Mg2 after structural relaxation.

Cell: 11.7139 6.8357 9.0685 Å, 90.00 112.58 90.00°
Space group C2/m (No. 12)
One atom of each set of equivalent atoms:
1 Tb 0.2280 0.0000 0.4597 [4 per cell]
2 Tm 0.0000 0.0000 0.0000 [2 per cell]
3 Tm 0.0061 0.5000 0.8266 [4 per cell]
4 Tm 0.2433 0.2322 0.8222 [8 per cell]
5 Mg 0.0000 0.2522 0.5000 [4 per cell]

Results
**V**: 30.5 Å³ per atom

=====

Which structure loses on stability? 2 does.

=====

## 1
DFT (PBE) results for Tb4Tm2Mg after structural relaxation.

Cell: 5.8678 3.5969 10.7212 Å, 90.00 99.12 90.00°
Space group P2/m (No. 10)
One atom of each set of equivalent atoms:
1 Tb 0.0558 0.0000 0.2036 [2 per cell]
2 Tb 0.4271 0.5000 0.7491 [2 per cell]
3 Tm 0.0000 0.5000 0.5000 [1 per cell]
4 Tm 0.5000 0.0000 0.5000 [1 per cell]
5 Mg 0.5000 0.0000 0.0000 [1 per cell]

Results
**V**: 31.9 Å³ per atom

=====

## 2
DFT (PBE) results for Tb4Tm2Mg after structural relaxation.

Cell: 5.9284 6.5471 11.4228 Å, 90.00 105.07 90.00°
Space group P2_1/m (No. 11)
One atom of each set of equivalent atoms:
1 Tb 0.0196 0.2500 0.3741 [2 per cell]
2 Tb 0.1546 0.2500 0.9400 [2 per cell]
3 Tb 0.3598 0.0018 0.2132 [4 per cell]
4 Tm 0.2721 0.7500 0.9224 [2 per cell]
5 Tm 0.4035 0.7500 0.4952 [2 per cell]
6 Mg 0.1449 0.2500 0.6638 [2 per cell]

Results
**V**: 30.6 Å³ per atom

=====

Which structure loses on stability? 1 does.

=====

## 1
DFT (PBE) results for Tb2TmMg after structural relaxation.

Cell: 3.4305 3.4305 36.6061 Å, 90.00 90.00 120.00°
Space group R-3m (No. 166, hexagonal axes)
One atom of each set of equivalent atoms:
1 Tb 0.0000 0.0000 0.0897 [6 per cell]
2 Tm 0.0000 0.0000 0.5000 [3 per cell]
3 Mg 0.0000 0.0000 0.0000 [3 per cell]

Results
**V**: 31.1 Å³ per atom

=====

## 2
DFT (PBE) results for Tb2TmMg after structural relaxation.

Cell: 5.5040 5.5040 3.8610 Å, 90.00 90.00 90.00°
Space group P4/mmm (No. 123)
One atom of each set of equivalent atoms:
1 Tb 0.0000 0.5000 0.0000 [2 per cell]
2 Tm 0.0000 0.0000 0.5000 [1 per cell]
3 Mg 0.5000 0.5000 0.5000 [1 per cell]

Results
**V**: 29.2 Å³ per atom

=====

Which structure loses on stability? 1 does.

=====

## 1
DFT (PBE) results for Tb2TmMg after structural relaxation.

Cell: 3.4801 3.4801 34.0672 Å, 90.00 90.00 120.00°
Space group R3m (No. 160, hexagonal axes)
One atom of each set of equivalent atoms:
1 Tb 0.0000 0.0000 0.0000 [3 per cell]
2 Tb 0.0000 0.0000 0.1660 [3 per cell]
3 Tm 0.0000 0.0000 0.5828 [3 per cell]
4 Mg 0.0000 0.0000 0.7497 [3 per cell]

Results
**V**: 29.8 Å³ per atom

=====

## 2
DFT (PBE) results for Tb2TmMg after structural relaxation.

Cell: 7.7539 7.7539 7.7539 Å, 90.00 90.00 90.00°
Space group Fm-3m (No. 225)
One atom of each set of equivalent atoms:
1 Tb 0.2500 0.2500 0.2500 [8 per cell]
2 Tm 0.0000 0.0000 0.0000 [4 per cell]
3 Mg 0.0000 0.0000 0.5000 [4 per cell]

Results
**V**: 29.1 Å³ per atom

=====

## 3
DFT (PBE) results for Tb2TmMg after structural relaxation.

Cell: 3.5765 3.5765 9.2059 Å, 90.00 90.00 90.00°
Space group P4/mmm (No. 123)
One atom of each set of equivalent atoms:
1 Tb 0.0000 0.0000 0.2374 [2 per cell]
2 Tm 0.5000 0.5000 0.5000 [1 per cell]
3 Mg 0.5000 0.5000 0.0000 [1 per cell]

Results
**V**: 29.4 Å³ per atom

=====

Which structure loses on stability? 1 does.

=====

## 1
DFT (PBE) results for Tb4TmMg after structural relaxation.

Cell: 10.5159 6.0980 11.8184 Å, 90.00 107.28 90.00°
Space group C2/c (No. 15)
One atom of each set of equivalent atoms:
1 Tb 0.0816 0.2452 0.4993 [8 per cell]
2 Tb 0.1676 0.4204 0.2502 [8 per cell]
3 Tm 0.2500 0.2500 0.0000 [4 per cell]
4 Mg 0.0000 0.0827 0.7500 [4 per cell]

Results
**V**: 30.2 Å³ per atom

=====

## 2
DFT (PBE) results for Tb4TmMg after structural relaxation.

Cell: 3.5559 3.5559 14.3391 Å, 90.00 90.00 90.00°
Space group P4/mmm (No. 123)
One atom of each set of equivalent atoms:
1 Tb 0.0000 0.0000 0.1545 [2 per cell]
2 Tb 0.5000 0.5000 0.3267 [2 per cell]
3 Tm 0.0000 0.0000 0.5000 [1 per cell]
4 Mg 0.5000 0.5000 0.0000 [1 per cell]

Results
**V**: 30.2 Å³ per atom

=====

Which structure loses on stability? 1 does.

=====

## 1
DFT (PBE) results for TbTmMg4 after structural relaxation.

Cell: 13.7456 3.4232 6.7750 Å, 90.00 104.23 90.00°
Space group C2/m (No. 12)
One atom of each set of equivalent atoms:
1 Tb 0.0000 0.0000 0.0000 [2 per cell]
2 Tm 0.0000 0.0000 0.5000 [2 per cell]
3 Mg 0.1740 0.5000 0.3388 [4 per cell]
4 Mg 0.1751 0.5000 0.8361 [4 per cell]

Results
**V**: 25.8 Å³ per atom

=====

## 2
DFT (PBE) results for TbTmMg4 after structural relaxation.

Cell: 8.5101 8.5101 8.5101 Å, 90.00 90.00 90.00°
Space group F-43m (No. 216)
One atom of each set of equivalent atoms:
1 Tb 0.0000 0.0000 0.0000 [4 per cell]
2 Tm 0.2500 0.2500 0.2500 [4 per cell]
3 Mg 0.1250 0.1250 0.6250 [16 per cell]

Results
**V**: 25.7 Å³ per atom

=====

Which structure loses on stability? 1 does.

=====

## 1
DFT (PBE) results for TbTm2Mg after structural relaxation.

Cell: 7.7183 7.7183 7.7183 Å, 90.00 90.00 90.00°
Space group Fm-3m (No. 225)
One atom of each set of equivalent atoms:
1 Tb 0.0000 0.0000 0.0000 [4 per cell]
2 Tm 0.2500 0.2500 0.2500 [8 per cell]
3 Mg 0.0000 0.0000 0.5000 [4 per cell]

Results
**V**: 28.7 Å³ per atom

=====

## 2
DFT (PBE) results for TbTm2Mg after structural relaxation.

Cell: 7.0660 7.0750 18.5316 Å, 90.00 90.00 90.00°
Space group Fmmm (No. 69)
One atom of each set of equivalent atoms:
1 Tb 0.0000 0.0000 0.1290 [8 per cell]
2 Tm 0.0000 0.0000 0.3688 [8 per cell]
3 Tm 0.2500 0.2500 0.0000 [8 per cell]
4 Mg 0.2500 0.2500 0.2500 [8 per cell]

Results
**V**: 29.0 Å³ per atom

=====

Which structure loses on stability? 1 does.

=====

## 1
DFT (PBE) results for TbTm2Mg after structural relaxation.

Cell: 3.5368 3.5368 9.2545 Å, 90.00 90.00 90.00°
Space group P4/mmm (No. 123)
One atom of each set of equivalent atoms:
1 Tb 0.0000 0.0000 0.0000 [1 per cell]
2 Tm 0.5000 0.5000 0.2637 [2 per cell]
3 Mg 0.0000 0.0000 0.5000 [1 per cell]

Results
**V**: 28.9 Å³ per atom

=====

## 2
DFT (PBE) results for TbTm2Mg after structural relaxation.

Cell: 5.9921 3.4512 11.5148 Å, 90.00 100.07 90.00°
Space group Cm (No. 8)
One atom of each set of equivalent atoms:
1 Tb 0.0000 0.0000 0.0000 [2 per cell]
2 Tm 0.0823 0.5000 0.7479 [2 per cell]
3 Tm 0.4181 0.0000 0.2532 [2 per cell]
4 Mg 0.1678 0.0000 0.5003 [2 per cell]

Results
**V**: 29.3 Å³ per atom

=====

Which structure loses on stability? 2 does.

=====

## 1
DFT (PBE) results for TbTm2Mg after structural relaxation.

Cell: 4.8581 4.8581 4.8985 Å, 90.00 90.00 90.00°
Space group P4/mmm (No. 123)
One atom of each set of equivalent atoms:
1 Tb 0.0000 0.0000 0.0000 [1 per cell]
2 Tm 0.0000 0.5000 0.5000 [2 per cell]
3 Mg 0.5000 0.5000 0.0000 [1 per cell]

Results
**V**: 28.9 Å³ per atom

=====

## 2
DFT (PBE) results for TbTm2Mg after structural relaxation.

Cell: 3.4899 3.4899 33.2024 Å, 90.00 90.00 120.00°
Space group R-3m (No. 166, hexagonal axes)
One atom of each set of equivalent atoms:
1 Tb 0.0000 0.0000 0.0000 [3 per cell]
2 Tm 0.0000 0.0000 0.2471 [6 per cell]
3 Mg 0.0000 0.0000 0.5000 [3 per cell]

Results
**V**: 29.2 Å³ per atom

=====

Which structure loses on stability? 1 does.